Record 1
The following is a PBE-GGA calculation of a geometry-optimized YZr2Zn structure, from Alexandria via LeMat-Bulk.

V ... 91.9 Å³/f.u.
Uncorrected energy ... -6.173 eV/atom

Unit cell a=3.2985 b=5.1105 c=5.4515 alpha=90.00 beta=90.00 gamma=90.00
Last column: nearest neighbours and their distance in Å.
Fractional positions:
Zn 0.0000 0.5000 0.5000  4 Y 3.04, 4 Zr 3.19, 2 Zn 3.30
Zr 0.0000 0.0000 0.0000  6 Zr 3.04-3.30, 4 Y 3.19
Zr 0.5000 0.5000 0.0000  6 Zr 3.04-3.30, 4 Zn 3.19
Y 0.5000 0.0000 0.5000  4 Zn 3.04, 4 Zr 3.19, 2 Y 3.30

***

Record 2
The following is a PBE-GGA calculation of a geometry-optimized BaSr2In2 structure, from Alexandria via LeMat-Bulk.

V ... 216.4 Å³/f.u.
Uncorrected energy ... -2.443 eV/atom
Relative energy among the computed polymorphs ... 0.036 eV per atom

Unit cell a=5.1036 b=6.8214 c=6.7385 alpha=94.45 beta=112.25 gamma=90.00
Last column: nearest neighbours and their distance in Å.
Fractional positions:
Sr 0.6557 0.6189 0.3115  4 In 3.42-3.52
Sr 0.3443 0.3811 0.6885  4 In 3.42-3.52
In 0.2844 0.8756 0.5688  2 In 3.22, 4 Sr 3.42-3.52
In 0.7156 0.1244 0.4312  2 In 3.22, 4 Sr 3.42-3.52
Ba 0.0000 0.0000 0.0000  6 In 3.72-3.75

***

Record 3
The following is a PBE-GGA calculation of a geometry-optimized Zn2FeRh structure, from Alexandria via LeMat-Bulk.

V ... 54.1 Å³/f.u.
Uncorrected energy ... -4.738 eV/atom

Unit cell a=3.7953 b=3.7961 c=3.7554 alpha=90.00 beta=90.00 gamma=90.00
Last column: nearest neighbours and their distance in Å.
Fractional positions:
Rh 0.0000 0.5000 0.5000  8 Zn 2.67, 4 Fe 2.68
Zn 0.5000 0.5000 0.0000  4 Rh 2.67, 4 Fe 2.67, 4 Zn 2.68
Zn 0.0000 0.0000 0.0000  4 Fe 2.67, 4 Rh 2.67, 4 Zn 2.68
Fe 0.5000 0.0000 0.5000  8 Zn 2.67, 4 Rh 2.68

***

Record 4
The following is a PBE-GGA calculation of a geometry-optimized Rb6C5 structure, from Alexandria via LeMat-Bulk.

V ... 426.1 Å³/f.u.
Uncorrected energy ... -2.627 eV/atom

Unit cell a=7.8768 b=7.8768 c=7.9304 alpha=90.00 beta=90.00 gamma=120.00
Last column: nearest neighbours and their distance in Å.
Fractional positions:
C 0.3333 0.6667 0.7584  6 Rb 3.16-3.20
C 0.0000 0.0000 0.5000  3 Rb 3.02
C 0.3333 0.6667 0.2416  6 Rb 3.16-3.20
C 0.6667 0.3333 0.7584  6 Rb 3.16-3.20
C 0.6667 0.3333 0.2416  6 Rb 3.16-3.20
Rb 0.6342 0.6342 0.0000  4 C 3.16
Rb 0.0000 0.6168 0.5000  5 C 3.02-3.20
Rb 0.3658 0.0000 0.0000  4 C 3.16
Rb 0.0000 0.3658 0.0000  4 C 3.16
Rb 0.6168 0.0000 0.5000  5 C 3.02-3.20
Rb 0.3832 0.3832 0.5000  5 C 3.02-3.20

***

Record 5
The following is a PBE-GGA calculation of a geometry-optimized RePt2Pb structure, from Alexandria via LeMat-Bulk.

V ... 71.9 Å³/f.u.
Uncorrected energy ... -6.753 eV/atom

Unit cell a=9.6997 b=9.6997 c=9.6997 alpha=17.48 beta=17.48 gamma=17.48
Last column: nearest neighbours and their distance in Å.
Fractional positions:
Re 0.2500 0.2500 0.2500  6 Pt 2.73, 6 Re 2.95
Pt 0.5087 0.5087 0.5087  3 Re 2.73, 6 Pt 2.95
Pt 0.9913 0.9913 0.9913  3 Re 2.73, 6 Pt 2.95
Pb 0.7500 0.7500 0.7500  6 Pb 2.95, 6 Pt 3.14

***

Record 6
The following is a PBE-GGA calculation of a geometry-optimized CaCuMo2 structure, from Alexandria via LeMat-Bulk.

V ... 79.4 Å³/f.u.
Uncorrected energy ... -6.304 eV/atom
Relative energy among the computed polymorphs ... 0.296 eV per atom

Unit cell a=3.4371 b=3.4371 c=6.7167 alpha=90.00 beta=90.00 gamma=90.00
Last column: nearest neighbours and their distance in Å.
Fractional positions:
Cu 0.5000 0.5000 0.7500  8 Mo 2.67
Mo 0.0000 0.0000 0.5872  1 Mo 2.19
Mo 0.0000 0.0000 0.9128  1 Mo 2.19
Ca 0.5000 0.5000 0.2500  8 Mo 3.32, 2 Cu 3.36, 4 Ca 3.44

***

Record 7
The following is a PBE-GGA calculation of a geometry-optimized Na3MgRh structure, from Alexandria via LeMat-Bulk.

V ... 156.4 Å³/f.u.
Uncorrected energy ... -2.026 eV/atom
Relative energy among the computed polymorphs ... 0.000 eV per atom

Unit cell a=5.3880 b=5.3880 c=5.3880 alpha=90.00 beta=90.00 gamma=90.00
Last column: nearest neighbours and their distance in Å.
Fractional positions:
Rh 0.0000 0.0000 0.0000  6 Na 2.69
Na 0.5000 0.0000 0.0000  2 Rh 2.69
Na 0.0000 0.0000 0.5000  2 Rh 2.69
Na 0.0000 0.5000 0.0000  2 Rh 2.69
Mg 0.5000 0.5000 0.5000  12 Na 3.81

***

Record 8
The following is a PBE-GGA calculation of a geometry-optimized PrHoTmTl structure, from Alexandria via LeMat-Bulk.

V ... 116.9 Å³/f.u.
Uncorrected energy ... -4.223 eV/atom
Relative energy among the computed polymorphs ... 0.000 eV per atom

Unit cell a=4.9409 b=4.8276 c=4.9011 alpha=90.00 beta=90.00 gamma=90.00
Last column: nearest neighbours and their distance in Å.
Fractional positions:
Tm 0.5000 0.5000 0.0000  4 Tl 3.44, 4 Pr 3.45, 4 Ho 3.48
Ho 0.0000 0.5000 0.5000  4 Pr 3.44, 4 Tl 3.45, 4 Tm 3.48
Tl 0.5000 0.0000 0.5000  4 Tm 3.44, 4 Ho 3.45, 4 Pr 3.48
Pr 0.0000 0.0000 0.0000  4 Ho 3.44, 4 Tm 3.45, 4 Tl 3.48

***

Record 9
The following is a PBE-GGA calculation of a geometry-optimized Tc2NiOs structure, from Alexandria via LeMat-Bulk.

V ... 55.6 Å³/f.u.
Uncorrected energy ... -9.118 eV/atom
Relative energy among the computed polymorphs ... 0.369 eV per atom

Unit cell a=4.2850 b=4.2850 c=4.2850 alpha=60.00 beta=60.00 gamma=60.00
Last column: nearest neighbours and their distance in Å.
Fractional positions:
Os 0.5000 0.5000 0.5000  8 Tc 2.62
Ni 0.0000 0.0000 0.0000  8 Tc 2.62
Tc 0.2500 0.2500 0.2500  4 Ni 2.62, 4 Os 2.62
Tc 0.7500 0.7500 0.7500  4 Os 2.62, 4 Ni 2.62

***

Record 10
The following is a PBE-GGA calculation of a geometry-optimized TbCeTh structure, from Alexandria via LeMat-Bulk.

V ... 92.6 Å³/f.u.
Uncorrected energy ... -5.912 eV/atom
Relative energy among the computed polymorphs ... 0.032 eV per atom

Unit cell a=3.4789 b=3.4886 c=15.3522 alpha=90.00 beta=96.46 gamma=90.00
Last column: nearest neighbours and their distance in Å.
Fractional positions:
Ce 0.2110 0.2495 0.4230  8 Ce 3.40-3.49, 4 Th 3.45
Ce 0.7890 0.7505 0.5770  8 Ce 3.40-3.49, 4 Th 3.45
Tb 0.0499 0.2495 0.1007  6 Tb 3.48-3.53, 4 Th 3.51
Tb 0.9501 0.7505 0.8993  6 Tb 3.48-3.53, 4 Th 3.51
Th 0.3675 0.2507 0.7356  4 Ce 3.45, 4 Th 3.48-3.49, 4 Tb 3.51
Th 0.6325 0.7493 0.2644  4 Ce 3.45, 4 Th 3.48-3.49, 4 Tb 3.51

***

Record 11
The following is a PBE-GGA calculation of a geometry-optimized TmU2Pt9 structure, from Alexandria via LeMat-Bulk.

V ... 212.1 Å³/f.u.
Uncorrected energy ... -7.656 eV/atom

Unit cell a=4.1370 b=4.1370 c=12.3916 alpha=90.00 beta=90.00 gamma=90.00
Last column: nearest neighbours and their distance in Å.
Fractional positions:
Tm 0.0000 0.0000 0.0000  12 Pt 2.92-2.93
Pt 0.5000 0.0000 0.8335  2 U 2.90, 8 Pt 2.91-2.93, 2 Tm 2.92
Pt 0.5000 0.0000 0.5000  8 Pt 2.93, 4 U 2.95
Pt 0.5000 0.5000 0.6679  8 Pt 2.91-2.93, 4 U 2.93
Pt 0.5000 0.0000 0.1665  2 U 2.90, 8 Pt 2.91-2.93, 2 Tm 2.92
Pt 0.5000 0.5000 0.3321  8 Pt 2.91-2.93, 4 U 2.93
Pt 0.0000 0.5000 0.1665  2 U 2.90, 8 Pt 2.91-2.93, 2 Tm 2.92
Pt 0.0000 0.5000 0.5000  8 Pt 2.93, 4 U 2.95
Pt 0.5000 0.5000 0.0000  8 Pt 2.92, 4 Tm 2.93
Pt 0.0000 0.5000 0.8335  2 U 2.90, 8 Pt 2.91-2.93, 2 Tm 2.92
U 0.0000 0.0000 0.6694  12 Pt 2.90-2.95
U 0.0000 0.0000 0.3306  12 Pt 2.90-2.95

***

Record 12
The following is a PBE-GGA calculation of a geometry-optimized LiSb3H structure, from Alexandria via LeMat-Bulk.

V ... 123.3 Å³/f.u.
Uncorrected energy ... -2.782 eV/atom
Relative energy among the computed polymorphs ... 0.545 eV per atom

Unit cell a=4.9772 b=4.9772 c=4.9772 alpha=90.00 beta=90.00 gamma=90.00
Last column: nearest neighbours and their distance in Å.
Fractional positions:
H 0.5000 0.5000 0.5000  12 Sb 3.52
Sb 0.5000 0.0000 0.0000  2 Li 2.49
Sb 0.0000 0.5000 0.0000  2 Li 2.49
Sb 0.0000 0.0000 0.5000  2 Li 2.49
Li 0.0000 0.0000 0.0000  6 Sb 2.49

***

Record 13
The following is a PBE-GGA calculation of a geometry-optimized Mg2FeTcPd structure, from Alexandria via LeMat-Bulk.

V ... 113.4 Å³/f.u.
Uncorrected energy ... -4.206 eV/atom

Unit cell a=4.9026 b=4.7186 c=4.9026 alpha=90.00 beta=90.00 gamma=90.00
Last column: nearest neighbours and their distance in Å.
Fractional positions:
Fe 0.5000 0.5000 0.5000  8 Mg 3.40, 4 Pd 3.47
Mg 0.0000 0.0000 0.5000  2 Tc 2.45
Mg 0.5000 0.0000 0.0000  2 Tc 2.45
Pd 0.0000 0.5000 0.0000  2 Tc 2.36
Tc 0.0000 0.0000 0.0000  2 Pd 2.36, 4 Mg 2.45

***

Record 14
The following is a PBE-GGA calculation of a geometry-optimized SrSbRuO6 structure, from Alexandria via LeMat-Bulk.

V ... 132.7 Å³/f.u.
Uncorrected energy ... -6.629 eV/atom
Raw formation energy ... -1.648 eV/atom

Unit cell a=5.3152 b=5.3152 c=5.4247 alpha=90.00 beta=90.00 gamma=60.00
Last column: nearest neighbours and their distance in Å.
Fractional positions:
O 0.3782 0.9948 0.7039  1 Ru 1.99, 1 Sb 2.02
O 0.3782 0.6270 0.2961  1 Ru 1.99, 1 Sb 2.02
O 0.9947 0.6270 0.7039  1 Ru 1.99, 1 Sb 2.02
O 0.6270 0.9947 0.2961  1 Ru 1.99, 1 Sb 2.02
O 0.9947 0.3782 0.2961  1 Ru 1.99, 1 Sb 2.02
O 0.6270 0.3783 0.7039  1 Ru 1.99, 1 Sb 2.02
Sr 0.0000 0.0000 0.0000  6 O 2.56
Sb 0.3333 0.3333 0.5000  6 O 2.02
Ru 0.6666 0.6667 0.5000  6 O 1.99

***

Record 15
The following is a PBE-GGA calculation of a geometry-optimized TaMn2Co3 structure, from Alexandria via LeMat-Bulk.

V ... 76.8 Å³/f.u.
Uncorrected energy ... -8.690 eV/atom

Unit cell a=4.1858 b=6.6058 c=5.8553 alpha=90.00 beta=90.00 gamma=71.53
Last column: nearest neighbours and their distance in Å.
Fractional positions:
Mn 0.3320 0.3360 0.5000  8 Co 2.52-2.54
Mn 0.0000 0.0000 0.0000  8 Co 2.56-2.59
Mn 0.0000 0.0000 0.5000  8 Co 2.52-2.54
Mn 0.6680 0.6640 0.5000  8 Co 2.52-2.54
Ta 0.6610 0.6779 0.0000  8 Co 2.52-2.62
Ta 0.3390 0.3221 0.0000  8 Co 2.52-2.62
Co 0.1666 0.6668 0.7457  5 Mn 2.52-2.56, 3 Ta 2.57-2.62
Co 0.8334 0.3332 0.7457  5 Mn 2.52-2.56, 3 Ta 2.57-2.62
Co 0.5000 0.0000 0.2591  6 Mn 2.52-2.59, 2 Ta 2.52, 1 Co 2.82
Co 0.8334 0.3332 0.2543  5 Mn 2.52-2.56, 3 Ta 2.57-2.62
Co 0.5000 0.0000 0.7409  6 Mn 2.52-2.59, 2 Ta 2.52, 1 Co 2.82
Co 0.1666 0.6668 0.2543  5 Mn 2.52-2.56, 3 Ta 2.57-2.62

***

Record 16
The following is a PBE-GGA calculation of a geometry-optimized K3SrCu structure, from Alexandria via LeMat-Bulk.

V ... 487.5 Å³/f.u.
Uncorrected energy ... -0.913 eV/atom
Relative energy among the computed polymorphs ... 0.589 eV per atom

Unit cell a=7.8701 b=7.8701 c=7.8701 alpha=90.00 beta=90.00 gamma=90.00
Last column: nearest neighbours and their distance in Å.
Fractional positions:
K 0.5000 0.0000 0.0000  2 Sr 3.94
K 0.0000 0.0000 0.5000  2 Sr 3.94
K 0.0000 0.5000 0.0000  2 Sr 3.94
Cu 0.5000 0.5000 0.5000  12 K 5.56
Sr 0.0000 0.0000 0.0000  6 K 3.94

***

Record 17
The following is a PBE-GGA calculation of a geometry-optimized MoW3S8 structure, from Alexandria via LeMat-Bulk.

V ... 253.1 Å³/f.u.
Uncorrected energy ... -7.729 eV/atom
Raw formation energy ... -0.836 eV/atom

Unit cell a=3.1899 b=3.1899 c=28.7232 alpha=90.00 beta=90.00 gamma=120.00
Last column: nearest neighbours and their distance in Å.
Fractional positions:
Mo 0.0000 0.0000 0.0146  6 S 2.42
S 0.0000 0.0000 0.6824  3 W 2.42
S 0.3333 0.6667 0.5499  3 W 2.42
S 0.3333 0.6667 0.0691  3 Mo 2.42
S 0.0000 0.0000 0.7919  3 W 2.42
S 0.0000 0.0000 0.3107  3 W 2.42
S 0.3333 0.6667 0.4404  3 W 2.42
S 0.3333 0.6667 0.9602  3 Mo 2.42
S 0.0000 0.0000 0.2012  3 W 2.42
W 0.3333 0.6667 0.7372  6 S 2.42
W 0.3333 0.6667 0.2560  6 S 2.42
W 0.0000 0.0000 0.4951  6 S 2.42

***

Record 18
The following is a PBE-GGA calculation of a geometry-optimized GdDyTlCo structure, from Alexandria via LeMat-Bulk.

V ... 95.7 Å³/f.u.
Uncorrected energy ... -7.155 eV/atom

Unit cell a=5.1334 b=5.1334 c=5.1334 alpha=60.00 beta=60.00 gamma=60.00
Last column: nearest neighbours and their distance in Å.
Fractional positions:
Co 0.0000 0.0000 0.0000  4 Gd 3.14, 4 Dy 3.14
Dy 0.2500 0.2500 0.2500  4 Co 3.14, 4 Tl 3.14
Tl 0.5000 0.5000 0.5000  4 Gd 3.14, 4 Dy 3.14
Gd 0.7500 0.7500 0.7500  4 Tl 3.14, 4 Co 3.14

***

Record 19
The following is a PBE-GGA calculation of a geometry-optimized Rb3CoCl6 structure, from Alexandria via LeMat-Bulk.

V ... 306.3 Å³/f.u.
Uncorrected energy ... -3.482 eV/atom
Raw formation energy ... -1.373 eV/atom
Relative energy among the computed polymorphs ... 0.000 eV per atom

Unit cell a=7.5666 b=7.5666 c=7.5665 alpha=60.00 beta=60.00 gamma=90.00
Last column: nearest neighbours and their distance in Å.
Fractional positions:
Rb 0.0000 0.0000 0.0000  6 Cl 3.08
Rb 0.7500 0.2500 0.5000  12 Cl 3.81
Rb 0.2500 0.7500 0.5000  12 Cl 3.81
Co 0.5000 0.5000 0.0000  6 Cl 2.27
Cl 0.7120 0.7120 0.0000  1 Co 2.27
Cl 0.7120 0.2880 0.0000  1 Co 2.27
Cl 0.2880 0.7120 0.0000  1 Co 2.27
Cl 0.7120 0.7120 0.5760  1 Co 2.27
Cl 0.2880 0.2880 0.0000  1 Co 2.27
Cl 0.2880 0.2880 0.4240  1 Co 2.27

***

Record 20
The following is a PBE-GGA calculation of a geometry-optimized Li5Cr structure, from Alexandria via LeMat-Bulk.

V ... 112.9 Å³/f.u.
Uncorrected energy ... -2.950 eV/atom
Relative energy among the computed polymorphs ... 0.000 eV per atom

Unit cell a=5.7646 b=5.7646 c=6.9881 alpha=75.81 beta=75.81 gamma=30.17
Last column: nearest neighbours and their distance in Å.
Fractional positions:
Li 0.2798 0.2798 0.9454  9 Li 2.90-3.00, 3 Cr 2.97-3.05
Li 0.6095 0.6095 0.2690  2 Cr 2.92, 10 Li 2.96-3.05
Li 0.3362 0.3362 0.3289  10 Li 2.90-3.08, 2 Cr 2.96
Li 0.9459 0.9459 0.6156  1 Cr 2.89, 11 Li 2.96-3.07
Li 0.6629 0.6629 0.6755  2 Cr 2.93, 10 Li 2.96-3.08
Cr 0.9991 0.9991 0.9990  10 Li 2.89-3.05, 2 Cr 3.00

***

Record 21
The following is a PBE-GGA calculation of a geometry-optimized BeCdAs2Br structure, from Alexandria via LeMat-Bulk.

V ... 148.6 Å³/f.u.
Uncorrected energy ... -1.951 eV/atom
Raw formation energy ... 1.171 eV/atom
Relative energy among the computed polymorphs ... 0.857 eV per atom

Unit cell a=5.1908 b=5.1908 c=5.5160 alpha=90.00 beta=90.00 gamma=90.00
Last column: nearest neighbours and their distance in Å.
Fractional positions:
Cd 0.0000 0.0000 0.0000  4 As 2.60, 2 Br 2.76
Be 0.5000 0.5000 0.5000  4 Br 3.67, 8 As 3.79
Br 0.0000 0.0000 0.5000  2 Cd 2.76
As 0.0000 0.5000 0.0000  2 Cd 2.60
As 0.5000 0.0000 0.0000  2 Cd 2.60